A relaxed structure of Hf3Co2. Source: the Alexandria database, functional PBE.

a = 10.0739 Å, b = 3.2417 Å, c = 10.7474 Å
α = 90.00°, β = 90.00°, γ = 90.00°
Closest atoms and distances in Å follow each position.
Space group Pnma (No. 62)
Asymmetric unit:
Hf1 0.0575 0.2500 0.1299  5 Co 2.63-2.66
Hf2 0.1314 0.7500 0.5470  5 Co 2.61-2.65
Hf3 0.2143 0.2500 0.7842  4 Co 2.64-2.70
Co1 0.0213 0.7500 0.3234  7 Hf 2.63-2.70
Co2 0.1803 0.7500 0.9751  7 Hf 2.61-2.65

Relative energy among the computed polymorphs (meV per atom): 52.7
E_form (eV per atom): -0.2406
Volume (Å³ per atom): 17.5
Size of the total moment (Bohr magnetons per cell): 0.00

=====

A relaxed structure of MnSb2Mo. Source: the Alexandria database, functional PBE.

a = 3.2163 Å, b = 3.2163 Å, c = 8.0859 Å
α = 90.00°, β = 90.00°, γ = 90.00°
Closest atoms and distances in Å follow each position.
Space group P4mm (No. 99)
Asymmetric unit:
Mn1 0.0000 0.0000 0.0000  4 Mo 2.61, 4 Sb 2.81
Sb1 0.0000 0.0000 0.3876  4 Mo 2.93, 1 Mn 3.13, 4 Sb 3.22
Sb2 0.5000 0.5000 0.7951  4 Mn 2.81, 1 Mo 2.95
Mo1 0.5000 0.5000 0.1596  4 Mn 2.61, 4 Sb 2.93

Relative energy among the computed polymorphs (meV per atom): 7.0
Volume (Å³ per atom): 20.9
Formation energy (no corrections) (eV/atom): 0.117
Size of the total moment (Bohr magnetons per cell): 1.97

=====

A relaxed structure of LiN2. Source: the Alexandria database, functional PBE.

a = 2.9331 Å, b = 8.0760 Å, c = 2.9409 Å
α = 90.00°, β = 119.90°, γ = 90.00°
Closest atoms and distances in Å follow each position.
Space group P2_1 (No. 4)
Asymmetric unit:
Li1 0.1694 0.0000 0.3331  6 N 2.21-2.23
N1 0.4979 0.1775 0.9989  1 N 1.17
N2 0.4982 0.3224 0.9982  1 N 1.17

Relative energy among the computed polymorphs (meV per atom): 0.0
Volume (Å³ per atom): 10.1
Formation energy (no corrections) (eV/atom): -0.238
Size of the total moment (Bohr magnetons per cell): 0.00

=====

A relaxed structure of Rb6Al3I14. Source: the Alexandria database, functional PBE.

a = 13.4897 Å, b = 13.4897 Å, c = 7.1672 Å
α = 90.00°, β = 90.00°, γ = 120.00°
Closest atoms and distances in Å follow each position.
Space group P3 (No. 143)
Asymmetric unit:
Rb1 0.0108 0.5561 0.0000  5 I 3.58-3.88
Rb2 0.3239 0.1097 0.5274  5 I 3.57-3.99
Al1 0.0000 0.0000 0.9320  4 I 2.56-2.58
Al2 0.3333 0.6667 0.4116  4 I 2.57
Al3 0.6667 0.3333 0.2708  6 I 3.04-3.09
I1 0.0000 0.0000 0.2885  1 Al 2.56
I2 0.0755 0.8709 0.8069  1 Al 2.58
I3 0.2049 0.4615 0.2898  1 Al 2.57
I4 0.3333 0.6667 0.7698  1 Al 2.57
I5 0.4490 0.1917 0.0464  1 Al 3.04
I6 0.5217 0.4094 0.4987  1 Al 3.09

Volume (Å³ per atom): 49.1
Formation energy (no corrections) (eV/atom): -1.060
Size of the total moment (Bohr magnetons per cell): 1.03

=====

A relaxed structure of CuSb2Br. Source: the Alexandria database, functional PBE.

a = 7.1640 Å, b = 7.1640 Å, c = 7.1640 Å
α = 90.00°, β = 90.00°, γ = 90.00°
Closest atoms and distances in Å follow each position.
Space group Fm-3m (No. 225)
Asymmetric unit:
Cu1 0.0000 0.0000 0.0000  8 Sb 3.10
Sb1 0.2500 0.2500 0.2500  4 Br 3.10, 4 Cu 3.10
Br1 0.0000 0.0000 0.5000  8 Sb 3.10

Relative energy among the computed polymorphs (meV per atom): 485.6
Volume (Å³ per atom): 23.0
Formation energy (no corrections) (eV/atom): 0.417
Size of the total moment (Bohr magnetons per cell): 0.00

=====

A relaxed structure of LiIn2NiRu. Source: the Alexandria database, functional PBE.

a = 5.1152 Å, b = 5.1152 Å, c = 4.6694 Å
α = 90.00°, β = 90.00°, γ = 90.00°
Closest atoms and distances in Å follow each position.
Space group P4/mmm (No. 123)
Asymmetric unit:
Li1 0.0000 0.0000 0.0000  8 In 3.46, 4 Ni 3.62
In1 0.0000 0.5000 0.5000  2 Ru 2.56
Ni1 0.5000 0.5000 0.0000  2 Ru 2.33
Ru1 0.5000 0.5000 0.5000  2 Ni 2.33, 4 In 2.56

E_form (eV per atom): 0.4086
Volume (Å³ per atom): 24.4
Size of the total moment (Bohr magnetons per cell): 1.21